Entry 1:
The following is a PBE calculation of an optimized crystal structure of Pr4ZnRu3, from Alexandria.

Cell: 4.332 4.468 10.500 Å, 90.00 90.00 90.00°
Space group Pmm2 (No. 25)
Symmetry-distinct sites (fractional):
Pr 0.000 0.000 0.000 [1 per cell]
Pr 0.000 0.500 0.282 [1 per cell]
Pr 0.500 0.000 0.515 [1 per cell]
Pr 0.500 0.500 0.804 [1 per cell]
Zn 0.500 0.000 0.210 [1 per cell]
Ru 0.000 0.000 0.703 [1 per cell]
Ru 0.000 0.500 0.609 [1 per cell]
Ru 0.500 0.500 0.088 [1 per cell]

Output
E, eV per atom: -6.1806
ΔE_f, eV per atom: -0.153
DOS(E_F), states/eV per cell: 6.4

Entry 2:
The following is a PBE calculation of an optimized crystal structure of Pr4W3N10, from Alexandria.

Cell: 4.004 4.004 28.596 Å, 90.00 90.00 90.00°
Space group I4/mmm (No. 139)
Symmetry-distinct sites (fractional):
Pr 0.000 0.000 0.068 [4 per cell]
Pr 0.000 0.000 0.202 [4 per cell]
W 0.000 0.000 0.358 [4 per cell]
W 0.000 0.000 0.500 [2 per cell]
N 0.000 0.000 0.287 [4 per cell]
N 0.000 0.000 0.430 [4 per cell]
N 0.000 0.500 0.000 [4 per cell]
N 0.000 0.500 0.140 [8 per cell]

Output
E, eV per atom: -9.2397
Formation energy without anion corrections, eV/atom: -0.93
DOS(E_F), states/eV per cell: 6.5

Entry 3:
The following is a PBE calculation of an optimized crystal structure of YHoEr2Te6, from Alexandria.

Cell: 7.6575 7.6575 20.9841 Å, 90.00 90.00 120.00°
Space group R3 (No. 146, hexagonal axes)
Symmetry-distinct sites (fractional):
Y 0.0000 0.0000 0.0000 [3 per cell]
Ho 0.0000 0.0000 0.4997 [3 per cell]
Er 0.0000 0.0000 0.3145 [3 per cell]
Er 0.0000 0.0000 0.8148 [3 per cell]
Te 0.0025 0.3163 0.9064 [9 per cell]
Te 0.0041 0.6884 0.4067 [9 per cell]

Output
E, eV per atom: -5.2585
Formation energy without anion corrections, eV/atom: -1.36

Entry 4:
The following is a PBE calculation of an optimized crystal structure of Pu2TeI, from Alexandria.

Cell: 4.4840 4.4840 21.2980 Å, 90.00 90.00 120.00°
Space group R-3m (No. 166, hexagonal axes)
Symmetry-distinct sites (fractional):
Pu 0.0000 0.0000 0.2477 [6 per cell]
Te 0.0000 0.0000 0.5000 [3 per cell]
I 0.0000 0.0000 0.0000 [3 per cell]

Output
E, eV per atom: -9.1466
Formation energy without anion corrections, eV/atom: -0.81
DOS(E_F), states/eV per cell: 54.5

Entry 5:
The following is a PBE calculation of an optimized crystal structure of CdTe2Pb, from Alexandria.

Cell: 3.442 5.613 6.230 Å, 90.00 102.24 90.00°
Space group P2/m (No. 10)
Symmetry-distinct sites (fractional):
Cd 0.000 0.000 0.000 [1 per cell]
Te 0.279 0.500 0.750 [2 per cell]
Pb 0.500 0.000 0.500 [1 per cell]

Output
E, eV per atom: -2.6609
Formation energy without anion corrections, eV/atom: 0.07
DOS(E_F), states/eV per cell: 2.2

Entry 6:
The following is a PBE calculation of an optimized crystal structure of NaLaTb2Se4, from Alexandria.

Cell: 7.213 4.149 7.343 Å, 90.00 108.92 90.00°
Space group P2/m (No. 10)
Symmetry-distinct sites (fractional):
Na 0.000 0.000 0.000 [1 per cell]
La 0.500 0.500 0.000 [1 per cell]
Tb 0.000 0.500 0.500 [1 per cell]
Tb 0.500 0.000 0.500 [1 per cell]
Se 0.241 0.000 0.738 [2 per cell]
Se 0.252 0.500 0.262 [2 per cell]

Output
E, eV per atom: -5.4766
Formation energy without anion corrections, eV/atom: -1.80
DOS(E_F), states/eV per cell: 2.7